Entry 1:
PBE-GGA SmMgAu, relaxed; total magnetic moment = 0.02 μB per cell; electronic total energy = -3.15 eV per atom
1.0
4.474 0.998 1.810
0.902 -0.596 4.808
2.916 -3.669 1.524
Au Mg Sm
1 1 1
direct
0.250 0.250 0.250 Au
0.750 0.750 0.750 Mg
0.000 0.000 0.000 Sm

***

Entry 2:
PBE-GGA SmMgTe3Au, relaxed; total magnetic moment = 0.01 μB per cell; electronic total energy = -3.99 eV per atom
1.0
-6.805 2.313 -3.242
-7.882 0.101 0.188
0.270 9.495 6.209
Au Mg Sm Te
2 2 2 6
direct
0.479 0.479 0.250 Au
0.521 0.521 0.750 Au
0.851 0.851 0.250 Mg
0.149 0.149 0.750 Mg
0.000 0.000 0.000 Sm
0.000 0.000 0.500 Sm
0.349 0.349 0.065 Te
0.096 0.096 0.250 Te
0.349 0.349 0.435 Te
0.651 0.651 0.565 Te
0.904 0.904 0.750 Te
0.651 0.651 0.935 Te

***

Entry 3:
PBE-GGA SmMgTe3Au, relaxed; total magnetic moment = 0.01 μB per cell; electronic total energy = -3.93 eV per atom
1.0
4.252 0.000 0.000
0.000 12.386 0.000
0.000 0.000 12.833
Au Mg Sm Te
4 4 4 12
direct
0.250 0.778 0.234 Au
0.750 0.278 0.266 Au
0.250 0.722 0.734 Au
0.750 0.222 0.766 Au
0.750 0.938 0.230 Mg
0.250 0.438 0.270 Mg
0.750 0.562 0.730 Mg
0.250 0.062 0.770 Mg
0.750 0.696 0.047 Sm
0.250 0.196 0.453 Sm
0.750 0.804 0.547 Sm
0.250 0.304 0.953 Sm
0.250 0.881 0.049 Te
0.750 0.434 0.096 Te
0.250 0.151 0.196 Te
0.750 0.651 0.304 Te
0.250 0.934 0.404 Te
0.750 0.381 0.451 Te
0.250 0.619 0.549 Te
0.750 0.066 0.596 Te
0.250 0.349 0.696 Te
0.750 0.849 0.804 Te
0.250 0.566 0.904 Te
0.750 0.119 0.951 Te